## 1
Below is CuMo2Br after structural relaxation, with properties calculated at the PBE level.

abc: 3.160 3.318 7.223
angles: 88.15 90.00 90.00
Atoms (fractional coordinates):
Br: 0.000 0.504 0.493
Cu: 0.500 0.504 0.803
Mo: 0.000 0.983 0.015
Mo: 0.500 0.509 0.189

Output
SG = No. 6
Magnetic moment = 0.000 μB/cell

## 2
Below is CuMo2Br after structural relaxation, with properties calculated at the PBE level.

abc: 4.888 4.888 4.938
angles: 75.39 75.39 37.16
Atoms (fractional coordinates):
Br: 0.491 0.491 0.492
Cu: 0.268 0.268 0.204
Mo: 0.019 0.019 0.018
Mo: 0.721 0.721 0.786

Output
SG = No. 8
Magnetic moment = 0.000 μB/cell

The most stable structure shown above is 1; the least stable is 2.